The following is a PBE-GGA calculation of an optimized crystal structure of Y6HoTm2, from the Alexandria database.

energy of formation = 26 meV per atom
ρ = 6.1 g/cm³
offset from the most stable computed form = 0.000 eV/atom
V = 31.6 Å³/atom

Cell: 10.6429 10.6429 5.0201 Å, 90.00 90.00 90.00°
Closest atoms and distances in Å follow each position.
Sites, in units of the cell vectors:
Y 0.0001 0.3321 0.0000  1 Ho 3.53, 8 Y 3.54-3.57, 3 Tm 3.54-3.55
Y 0.9999 0.6679 0.0000  1 Ho 3.53, 8 Y 3.54-3.57, 3 Tm 3.54-3.55
Y 0.1658 0.1658 0.5000  4 Tm 3.54-3.56, 2 Ho 3.54, 6 Y 3.54-3.56
Y 0.1679 0.5001 0.5000  1 Ho 3.53, 8 Y 3.54-3.57, 3 Tm 3.54-3.55
Y 0.3321 0.0001 0.0000  1 Ho 3.53, 8 Y 3.54-3.57, 3 Tm 3.54-3.55
Y 0.3342 0.6658 0.0000  4 Tm 3.54-3.56, 2 Ho 3.54, 6 Y 3.54-3.56
Y 0.5001 0.1679 0.5000  1 Ho 3.53, 8 Y 3.54-3.57, 3 Tm 3.54-3.55
Y 0.4999 0.8321 0.5000  1 Ho 3.53, 8 Y 3.54-3.57, 3 Tm 3.54-3.55
Y 0.6658 0.3342 0.0000  4 Tm 3.54-3.56, 2 Ho 3.54, 6 Y 3.54-3.56
Y 0.6679 0.9999 0.0000  1 Ho 3.53, 8 Y 3.54-3.57, 3 Tm 3.54-3.55
Y 0.8321 0.4999 0.5000  1 Ho 3.53, 8 Y 3.54-3.57, 3 Tm 3.54-3.55
Y 0.8342 0.8342 0.5000  4 Tm 3.54-3.56, 2 Ho 3.54, 6 Y 3.54-3.56
Ho 0.0000 0.0000 0.0000  8 Y 3.53-3.54, 4 Tm 3.55
Ho 0.5000 0.5000 0.5000  8 Y 3.53-3.54, 4 Tm 3.55
Tm 0.1665 0.8335 0.5000  10 Y 3.54-3.56, 2 Ho 3.55
Tm 0.3335 0.3335 0.0000  10 Y 3.54-3.56, 2 Ho 3.55
Tm 0.6665 0.6665 0.0000  10 Y 3.54-3.56, 2 Ho 3.55
Tm 0.8335 0.1665 0.5000  10 Y 3.54-3.56, 2 Ho 3.55